1.
First-principles (SCAN) data for a crystal of LiSiTe2 relaxed with PBEsol, as listed in Alexandria.

## Properties
ΔE_f (raw)   -0.50 eV/f.u.

Unit cell a=8.578 b=8.578 c=8.578 alpha=26.67 beta=26.67 gamma=26.67
Fractional coordinates of all 4 atoms:
Li  0.000  0.000  0.000
Si  0.500  0.500  0.500
Te  0.105  0.105  0.105
Te  0.895  0.895  0.895

=====

2.
First-principles (SCAN) data for a crystal of Sc2WC relaxed with PBEsol, as listed in Alexandria.

## Properties
Energy of formation from the pure elements   1.29 eV per atom

Unit cell a=9.192 b=9.192 c=9.192 alpha=18.67 beta=18.67 gamma=18.67
Fractional coordinates of all 4 atoms:
Sc  0.080  0.080  0.080
Sc  0.920  0.920  0.920
W  0.500  0.500  0.500
C  0.000  0.000  0.000

=====

3.
First-principles (SCAN) data for a crystal of TePdSI2 relaxed with PBEsol, as listed in Alexandria.

## Properties
ΔE_f (raw)   2.85 eV/f.u.

Unit cell a=5.245 b=5.245 c=5.262 alpha=90.00 beta=90.00 gamma=90.00
Fractional coordinates of all 5 atoms:
Te  0.000  0.000  0.000
Pd  0.000  0.000  0.500
S  0.500  0.500  0.000
I  0.000  0.500  0.500
I  0.500  0.000  0.500

=====

4.
First-principles (SCAN) data for a crystal of LaTlSb relaxed with PBEsol, as listed in Alexandria.

## Properties
ΔE_f (raw)   -1.30 eV/f.u.

Unit cell a=5.163 b=5.163 c=5.163 alpha=60.00 beta=60.00 gamma=60.00
Fractional coordinates of all 3 atoms:
La  0.000  0.000  0.000
Tl  0.750  0.750  0.750
Sb  0.500  0.500  0.500

=====

5.
First-principles (SCAN) data for a crystal of NaW3O9 relaxed with PBEsol, as listed in Alexandria.

## Properties
ΔE_f (raw)   -29.33 eV/f.u.

Unit cell a=5.416 b=5.416 c=6.635 alpha=90.00 beta=90.00 gamma=120.00
Fractional coordinates of all 13 atoms:
Na  0.000  0.000  0.000
W  0.000  0.000  0.500
W  0.333  0.667  0.170
W  0.667  0.333  0.830
O  0.000  0.500  0.000
O  0.165  0.330  0.330
O  0.165  0.835  0.330
O  0.330  0.165  0.670
O  0.500  0.000  0.000
O  0.500  0.500  0.000
O  0.670  0.835  0.330
O  0.835  0.165  0.670
O  0.835  0.670  0.670

=====

6.
First-principles (SCAN) data for a crystal of KBe3Pt relaxed with PBEsol, as listed in Alexandria.

## Properties
Energy of formation from the pure elements   2.58 eV per atom

Unit cell a=4.180 b=4.180 c=4.180 alpha=90.00 beta=90.00 gamma=90.00
Fractional coordinates of all 5 atoms:
K  0.000  0.000  0.000
Be  0.000  0.000  0.500
Be  0.000  0.500  0.000
Be  0.500  0.000  0.000
Pt  0.500  0.500  0.500

=====

7.
First-principles (SCAN) data for a crystal of Li2FeAu relaxed with PBEsol, as listed in Alexandria.

## Properties
Energy of formation from the pure elements   -0.11 eV per atom

Unit cell a=2.624 b=4.064 c=5.345 alpha=90.00 beta=90.00 gamma=90.00
Fractional coordinates of all 4 atoms:
Li  0.000  0.000  0.000
Li  0.500  0.500  0.248
Fe  0.500  0.500  0.726
Au  0.000  0.000  0.512

=====

8.
First-principles (SCAN) data for a crystal of Tl2Zn2Re relaxed with PBEsol, as listed in Alexandria.

## Properties
Energy of formation from the pure elements   0.92 eV per atom

Unit cell a=8.389 b=8.389 c=8.389 alpha=156.37 beta=156.37 gamma=33.66
Fractional coordinates of all 5 atoms:
Tl  0.097  0.097  0.000
Tl  0.903  0.903  0.000
Zn  0.250  0.750  0.500
Zn  0.750  0.250  0.500
Re  0.500  0.500  0.000